(1)
A crystal of ZrIr4Rh relaxed with PBEsol. Source: the Alexandria database, functional SCAN.

Properties
Crystal system: cubic
E in eV per cell: -350.533
Calculated density in g/cm3: 16.9

Unit cell a=5.117 b=5.117 c=5.117 alpha=60.00 beta=60.00 gamma=60.00
Atoms (fractional coordinates):
Zr: 0.000 0.000 0.000
Ir: 0.127 0.624 0.624
Ir: 0.624 0.127 0.624
Ir: 0.624 0.624 0.127
Ir: 0.624 0.624 0.624
Rh: 0.250 0.250 0.250

(2)
A crystal of Ir2Ru relaxed with PBEsol. Source: the Alexandria database, functional SCAN.

Properties
Crystal system: tetragonal
E in eV per cell: -708.840
Relative energy among the computed polymorphs in meV per atom: 0
Calculated density in g/cm3: 19.5

Unit cell a=11.735 b=11.735 c=11.735 alpha=161.34 beta=161.34 gamma=26.51
Atoms (fractional coordinates):
Ir: 0.041 0.791 0.250
Ir: 0.124 0.374 0.750
Ir: 0.209 0.959 0.250
Ir: 0.374 0.124 0.250
Ir: 0.626 0.876 0.750
Ir: 0.791 0.041 0.750
Ir: 0.876 0.626 0.250
Ir: 0.959 0.209 0.750
Ru: 0.291 0.541 0.750
Ru: 0.459 0.709 0.750
Ru: 0.541 0.291 0.250
Ru: 0.709 0.459 0.250

(3)
A crystal of Ir2Ru relaxed with PBEsol. Source: the Alexandria database, functional SCAN.

Properties
Crystal system: trigonal
E in eV per cell: -177.124
Relative energy among the computed polymorphs in meV per atom: 29
Calculated density in g/cm3: 19.5

Unit cell a=2.694 b=2.694 c=6.594 alpha=90.00 beta=90.00 gamma=120.00
Atoms (fractional coordinates):
Ir: 0.333 0.667 0.172
Ir: 0.667 0.333 0.828
Ru: 0.000 0.000 0.500

(4)
A crystal of Ir2Ru relaxed with PBEsol. Source: the Alexandria database, functional SCAN.

Properties
Crystal system: orthorhombic
E in eV per cell: -177.194
Relative energy among the computed polymorphs in meV per atom: 5
Calculated density in g/cm3: 19.5

Unit cell a=4.666 b=4.666 c=4.666 alpha=146.51 beta=131.87 gamma=59.91
Atoms (fractional coordinates):
Ir: 0.165 0.165 0.000
Ir: 0.835 0.835 0.000
Ru: 0.500 0.500 0.000

(5)
A crystal of Ir5Ru relaxed with PBEsol. Source: the Alexandria database, functional SCAN.

Properties
Crystal system: orthorhombic
E in eV per cell: -390.073
Relative energy among the computed polymorphs in meV per atom: 66
Calculated density in g/cm3: 21.0

Unit cell a=4.363 b=7.192 c=7.192 alpha=21.80 beta=90.00 gamma=90.00
Atoms (fractional coordinates):
Ir: 0.000 0.000 0.000
Ir: 0.000 0.330 0.330
Ir: 0.500 0.110 0.110
Ir: 0.500 0.442 0.442
Ir: 0.500 0.775 0.775
Ru: 0.000 0.665 0.665

(6)
A crystal of IrRu4 relaxed with PBEsol. Source: the Alexandria database, functional SCAN.

Properties
Crystal system: tetragonal
E in eV per cell: -210.227
Calculated density in g/cm3: 14.7

Unit cell a=4.625 b=4.625 c=4.625 alpha=99.62 beta=99.62 gamma=131.74
Atoms (fractional coordinates):
Ir: 0.000 0.000 0.000
Ru: 0.198 0.598 0.796
Ru: 0.402 0.198 0.599
Ru: 0.598 0.802 0.401
Ru: 0.802 0.402 0.204

Q: What is the formula in the fourth record?
A: Ir2Ru